A relaxed structure of KPrWO5, computed with GGA+U.

Cell: 7.963 10.472 8.449 Å, 90.00 113.78 90.00°
Space group C2/c (No. 15)
Asymmetric unit:
K 0.000 0.182 0.250 (multiplicity 4)
Pr 0.000 0.500 0.000 (multiplicity 4)
W 0.000 0.180 0.750 (multiplicity 4)
O 0.000 0.423 0.250 (multiplicity 4)
O 0.094 0.281 0.630 (multiplicity 8)
O 0.175 0.077 0.900 (multiplicity 8)

Computed properties:
final energy = -7.100 eV per atom
crystal system = monoclinic
size of the total moment = 0.000 μB/atom